DFT (PBE) results for an optimized crystal structure of TlCdBr2F.

Results
Energy relative to the lowest polymorph listed for this composition: 0.0 meV/atom
Total DFT energy (no corrections): -2.960 eV/atom
Raw formation energy: -1.260 eV per atom

Lattice parameters (Å, degrees): 8.3045 4.0970 10.0575 90.00 113.42 90.00
With the nearest neighbours (Å) after each atom.
Space group P2_1/m (No. 11)
Asymmetric unit:
Tl (0.2355, 0.2500, 0.1159) x2  3 F 2.65-2.67
Cd (0.0673, 0.2500, 0.6910) x2  1 F 2.27
Br (0.1797, 0.2500, 0.4599) x2  3 Cd 2.83-2.87
Br (0.2937, 0.7500, 0.8409) x2  2 Cd 2.78
F (0.0433, 0.7500, 0.1357) x2  1 Cd 2.27

DFT (PBE) results for an optimized crystal structure of HoInNi2.

Results
Total DFT energy (no corrections): -5.111 eV/atom
Formation energy: -0.39 eV/atom

Lattice parameters (Å, degrees): 3.9865 3.7176 9.6444 90.00 90.00 90.00
With the nearest neighbours (Å) after each atom.
Space group Amm2 (No. 38)
Asymmetric unit:
Ho (0.0000, 0.0000, 0.0000) x2  7 Ni 2.73-2.82
In (0.5000, 0.0000, 0.7087) x2  7 Ni 2.73-2.82
Ni (0.0000, 0.0000, 0.2831) x2  2 Ni 2.42
Ni (0.5000, 0.0000, 0.4259) x2  2 Ni 2.42

DFT (PBE) results for an optimized crystal structure of NdInRhAu.

Results
Total DFT energy (no corrections): -5.068 eV/atom
Formation energy: -0.53 eV/atom

Lattice parameters (Å, degrees): 6.9757 6.9757 6.9757 90.00 90.00 90.00
With the nearest neighbours (Å) after each atom.
Space group F-43m (No. 216)
Asymmetric unit:
Nd (0.0000, 0.0000, 0.0000) x4  4 Rh 3.02, 4 Au 3.02
In (0.0000, 0.0000, 0.5000) x4  4 Rh 3.02, 4 Au 3.02
Rh (0.2500, 0.2500, 0.7500) x4  4 In 3.02, 4 Nd 3.02
Au (0.2500, 0.2500, 0.2500) x4  4 In 3.02, 4 Nd 3.02

DFT (PBE) results for an optimized crystal structure of Mg4Al3H17O17.

Results
Total DFT energy (no corrections): -5.597 eV/atom

Lattice parameters (Å, degrees): 3.0371 7.1394 18.5535 95.01 94.46 100.75
With the nearest neighbours (Å) after each atom.
Space group P1 (No. 1)
Asymmetric unit:
Mg (0.0000, 0.0000, 0.0000) x1  6 O 2.03-2.17
Mg (0.1261, 0.9656, 0.2973) x1  6 O 2.05-2.16
Mg (0.5641, 0.9835, 0.1486) x1  6 O 2.05-2.18
Mg (0.6944, 0.9448, 0.4427) x1  6 O 2.06-2.13
Al (0.2648, 0.9350, 0.5792) x1  4 O 1.86-1.93
Al (0.4267, 0.9839, 0.8509) x1  6 O 1.89-2.06
Al (0.8434, 0.9611, 0.7163) x1  5 O 1.87-2.07
H (0.0124, 0.6624, 0.3881) x1  1 O 0.97
H (0.0537, 0.2767, 0.8923) x1  1 O 0.98
H (0.1281, 0.4853, 0.7764) x1  1 O 0.99
H (0.2186, 0.2655, 0.2172) x1  1 O 0.97
H (0.2306, 0.6269, 0.6719) x1  1 O 1.05
H (0.3261, 0.7186, 0.9230) x1  1 O 0.97
H (0.4065, 0.2323, 0.5059) x1  1 O 0.99
H (0.4728, 0.6836, 0.2364) x1  1 O 0.97
H (0.5218, 0.4636, 0.6633) x1  1 O 0.98
H (0.5731, 0.2693, 0.7801) x1  1 O 0.99
H (0.6531, 0.2830, 0.0623) x1  1 O 0.97
H (0.6707, 0.6057, 0.5104) x1  1 O 1.05
H (0.7577, 0.2453, 0.3700) x1  1 O 0.97
H (0.8576, 0.6212, 0.8143) x1  1 O 1.01
H (0.9090, 0.7012, 0.0840) x1  1 O 0.97
H (0.9577, 0.2447, 0.6419) x1  1 O 0.99
H (0.9715, 0.4493, 0.4902) x1  1 O 0.98
O (0.0125, 0.1419, 0.9012) x1  1 H 0.98
O (0.1016, 0.7990, 0.3854) x1  1 H 0.97
O (0.1542, 0.1284, 0.2046) x1  1 H 0.97
O (0.2261, 0.4812, 0.6768) x1  2 H 0.98-1.05
O (0.2687, 0.8384, 0.6731) x1  1 H 1.49
O (0.2885, 0.0930, 0.5029) x1  1 H 0.99
O (0.4064, 0.8565, 0.9360) x1  1 H 0.97
O (0.4567, 0.1292, 0.7692) x1  1 H 0.99
O (0.5346, 0.8212, 0.2361) x1  1 H 0.97
O (0.5894, 0.1449, 0.0541) x1  1 H 0.97
O (0.6597, 0.4674, 0.4846) x1  2 H 0.98-1.05
O (0.6920, 0.8093, 0.5404) x1  1 H 1.50
O (0.7157, 0.1096, 0.3544) x1  1 H 0.97
O (0.8502, 0.8569, 0.8055) x1  1 H 1.71, 3 Al 1.87-1.91
O (0.8662, 0.1035, 0.6353) x1  1 H 0.99
O (0.9467, 0.4927, 0.8184) x1  2 H 0.99-1.01
O (0.9716, 0.8394, 0.0865) x1  1 H 0.97

One value per record, in order, for V: 314; 143; 339; 392 Å³ per cell.